No. 1
# Tl2TcPtPb PBE relaxed
data_Tl2TcPtPb
_space_group_name_H-M_alt 'P 4/m m m'
_space_group_IT_number 123
_space_group_name_Hall '-P 4 2'
_cell_length_a 5.784
_cell_length_b 5.784
_cell_length_c 5.282
_cell_angle_alpha 90.00
_cell_angle_beta 90.00
_cell_angle_gamma 90.00
loop_
_atom_site_label
_atom_site_type_symbol
_atom_site_fract_x
_atom_site_fract_y
_atom_site_fract_z
_atom_site_occupancy
Tl1 Tl 0.000 0.500 0.000 1
Tc1 Tc 0.000 0.000 0.500 1
Pt1 Pt 0.500 0.500 0.500 1
Pb1 Pb 0.000 0.000 0.000 1
# spin magnetization = 3.60 Bohr magnetons per cell
# DOS(E_F) = 1.08 states/eV per atom
# crystal system = tetragonal
# ΔE_f = 1.600 eV/atom

=====

No. 2
# Pm4CF5 PBE relaxed
data_Pm4CF5
_space_group_name_H-M_alt 'I m m m'
_space_group_IT_number 71
_space_group_name_Hall '-I 2 2'
_cell_length_a 3.592
_cell_length_b 7.122
_cell_length_c 13.723
_cell_angle_alpha 90.00
_cell_angle_beta 90.00
_cell_angle_gamma 90.00
loop_
_atom_site_label
_atom_site_type_symbol
_atom_site_fract_x
_atom_site_fract_y
_atom_site_fract_z
_atom_site_occupancy
Pm1 Pm 0.000 0.000 0.182 1
Pm2 Pm 0.000 0.261 0.500 1
C1 C 0.000 0.000 0.000 1
F1 F 0.000 0.241 0.324 1
F2 F 0.000 0.500 0.000 1
# spin magnetization = 0.00 Bohr magnetons per cell
# DOS(E_F) = 0.28 states/eV per atom
# crystal system = orthorhombic
# E_form (uncorrected) = -61.34 kcal/mol of atoms

=====

No. 3
# BeAgAsRh2 PBE relaxed
data_BeAgAsRh2
_space_group_name_H-M_alt 'P 4/m m m'
_space_group_IT_number 123
_space_group_name_Hall '-P 4 2'
_cell_length_a 4.525
_cell_length_b 4.525
_cell_length_c 4.734
_cell_angle_alpha 90.00
_cell_angle_beta 90.00
_cell_angle_gamma 90.00
loop_
_atom_site_label
_atom_site_type_symbol
_atom_site_fract_x
_atom_site_fract_y
_atom_site_fract_z
_atom_site_occupancy
Be1 Be 0.000 0.000 0.000 1
Ag1 Ag 0.500 0.500 0.000 1
As1 As 0.500 0.500 0.500 1
Rh1 Rh 0.000 0.500 0.500 1
# spin magnetization = 0.00 Bohr magnetons per cell
# DOS(E_F) = 0.54 states/eV per atom
# crystal system = tetragonal
# ΔE_f = 0.747 eV/atom

=====

Q: Which of these has the lowest DOS(E_F)?
A: Pm4CF5

=====

Q: What is the DOS(E_F) in the second record?
A: 0.28 states/eV per atom